This record from Alexandria describes a geometry-optimized Pm2GeMoN5 structure. The functional is PBE.

Calculated values
Symmetry ... Cmc2_1 (36)
ρ ... 7.525 g/cm³
ΔE_f (raw) ... -6.678 eV/f.u.
Fermi-level density of states ... 0.216 states/eV per atom

Cell lengths 3.2171, 7.3043, 10.1775 Å; angles 90.00, 90.00, 102.72 degrees
Last column: nearest neighbours and their distance in Å.
Element x y z (fractional)
N 0.0465 0.0930 0.0528  2 Ge 1.89
Pm 0.1119 0.2238 0.6960  8 N 2.48-2.69
Pm 0.1324 0.2648 0.2899  7 N 2.45-2.71
N 0.9535 0.9070 0.5528  2 Ge 1.89
N 0.4976 0.9951 0.7894  1 Ge 1.84
N 0.7135 0.4269 0.1475  2 Mo 2.13
N 0.6830 0.3659 0.8791  1 Ge 2.07, 2 Mo 2.19
N 0.3170 0.6341 0.3791  1 Ge 2.07, 2 Mo 2.19
Mo 0.7743 0.5485 0.5122  1 N 1.81
N 0.3524 0.7049 0.0016  1 Mo 1.81
N 0.5024 0.0049 0.2894  1 Ge 1.84
N 0.2865 0.5731 0.6475  2 Mo 2.13
Ge 0.5482 0.0964 0.9554  3 N 1.84-1.89
Pm 0.8881 0.7762 0.1960  8 N 2.48-2.69
N 0.6476 0.2951 0.5016  1 Mo 1.81
Ge 0.4518 0.9036 0.4554  3 N 1.84-1.89
Mo 0.2257 0.4515 0.0122  1 N 1.81
Pm 0.8676 0.7352 0.7899  7 N 2.45-2.71